{
  "formula": "NaMoF3",
  "functional": "PBE+U",
  "state": "relaxed",
  "cell": [[4.428, 0.000, 0.000], [0.000, 4.428, 0.000], [0.000, 0.000, 4.428]],
  "species": ["Na", "Mo", "F", "F", "F"],
  "frac_coords": [[0.000, 0.000, 0.000], [0.500, 0.500, 0.500], [0.000, 0.500, 0.500], [0.500, 0.000, 0.500], [0.500, 0.500, 0.000]],
  "e_above_lowest_polymorph_ev_per_atom": 0.000,
  "space_group": "Pm-3m",
  "dos_ef_per_ev_atom": 0.28
}